Entry 1:
The following is a DFT calculation (GGA-PBE) of a relaxed MgTl4Hg crystal.

Cell and atoms, written as POSCAR:
```
MgTl4Hg
1.0
3.7989 0.0000 0.0000
0.0000 3.7989 0.0000
0.0000 0.0000 11.7903
Mg Tl Hg
1 4 1
Direct
0.0000 0.0000 0.0000
0.0000 0.0000 0.3316
0.0000 0.0000 0.6684
0.5000 0.5000 0.1501
0.5000 0.5000 0.8499
0.5000 0.5000 0.5000
```

Properties
Space-group type: P4/mmm (123)
Magnetization: 0.00 Bohr magnetons per cell
Energy above the most stable polymorph in this dataset: 0 meV per atom
Density of states at the Fermi level: 0.381 states/eV/atom
ΔE_f: 0 kJ/mol of atoms
Calculated total energy: -1.89 eV/atom

---

Entry 2:
The following is a DFT calculation (GGA-PBE) of a relaxed MnNiSnPd crystal.

Cell and atoms, written as POSCAR:
```
MnNiSnPd
1.0
6.2670 0.0000 0.0000
0.0000 6.2670 0.0000
0.0000 0.0000 6.2670
Mn Ni Sn Pd
4 4 4 4
Direct
0.0000 0.0000 0.0000
0.0000 0.5000 0.5000
0.5000 0.0000 0.5000
0.5000 0.5000 0.0000
0.2500 0.2500 0.7500
0.2500 0.7500 0.2500
0.7500 0.2500 0.2500
0.7500 0.7500 0.7500
0.0000 0.0000 0.5000
0.0000 0.5000 0.0000
0.5000 0.0000 0.0000
0.5000 0.5000 0.5000
0.2500 0.2500 0.2500
0.2500 0.7500 0.7500
0.7500 0.2500 0.7500
0.7500 0.7500 0.2500
```

Properties
Space-group type: F-43m (216)
Magnetization: 16.82 Bohr magnetons per cell
Density of states at the Fermi level: 0.578 states/eV/atom
ΔE_f: -24 kJ/mol of atoms
Calculated total energy: -6.28 eV/atom

---

Entry 3:
The following is a DFT calculation (GGA-PBE) of a relaxed MgAlZn5 crystal.

Cell and atoms, written as POSCAR:
```
MgAlZn5
1.0
8.2931 0.0000 0.0000
0.0000 5.2511 0.0000
0.0000 0.0000 10.5734
Mg Al Zn
4 4 20
Direct
0.2410 0.2500 0.0656
0.2590 0.7500 0.5656
0.7410 0.2500 0.4344
0.7590 0.7500 0.9344
0.1419 0.7500 0.8563
0.3581 0.2500 0.3563
0.6419 0.7500 0.6437
0.8581 0.2500 0.1437
0.0556 0.7500 0.0870
0.0590 0.0099 0.3080
0.0590 0.4901 0.3080
0.1003 0.2500 0.5197
0.1928 0.2500 0.7587
0.3072 0.7500 0.2587
0.3997 0.7500 0.0197
0.4410 0.5099 0.8080
0.4410 0.9901 0.8080
0.4444 0.2500 0.5870
0.5556 0.7500 0.4130
0.5590 0.0099 0.1920
0.5590 0.4901 0.1920
0.6003 0.2500 0.9803
0.6928 0.2500 0.7413
0.8072 0.7500 0.2413
0.8997 0.7500 0.4803
0.9410 0.5099 0.6920
0.9410 0.9901 0.6920
0.9444 0.2500 0.9130
```

Properties
Space-group type: Pnma (62)
Magnetization: 0.00 Bohr magnetons per cell
Density of states at the Fermi level: 0.276 states/eV/atom
ΔE_f: -1 kJ/mol of atoms
Calculated total energy: -1.68 eV/atom

---

Entry 4:
The following is a DFT calculation (GGA-PBE) of a relaxed Sr3Sb2AsPd6 crystal.

Cell and atoms, written as POSCAR:
```
Sr3Sb2AsPd6
1.0
6.1016 0.0000 0.0000
-3.0508 5.2841 0.0000
0.0000 0.0000 8.7230
Sr Sb As Pd
3 2 1 6
Direct
0.0000 0.0000 0.0000
0.3333 0.6667 0.6507
0.6667 0.3333 0.3493
0.3333 0.6667 0.0692
0.6667 0.3333 0.9308
0.0000 0.0000 0.5000
0.1733 0.3466 0.3078
0.1733 0.8267 0.3078
0.3466 0.1733 0.6922
0.6534 0.8267 0.3078
0.8267 0.1733 0.6922
0.8267 0.6534 0.6922
```

Properties
Space-group type: P-3m1 (164)
Magnetization: 0.00 Bohr magnetons per cell
Density of states at the Fermi level: 0.323 states/eV/atom
Calculated total energy: -4.78 eV/atom
Formation energy from raw total energies: -693 meV per atom